The following is a DFT calculation (PBE with a Hubbard U) of a relaxed CaOs2WF crystal.

It has space group P4/mmm (No. 123), with a = 4.932 Å, b = 4.932 Å, c = 4.128 Å, α = 90.00°, β = 90.00° and γ = 90.00°. The inequivalent atoms are Ca at (0.000, 0.000, 0.000), Os at (0.000, 0.500, 0.500), W at (0.500, 0.500, 0.500) and F at (0.500, 0.500, 0.000).

The calculation puts the total energy at -6.0058 eV per atom. Its total magnetization is 0.75 μB/f.u.